Be2AlAu2 after structural relaxation, computed with PBE-GGA.

a = 7.032 Å, b = 7.032 Å, c = 2.875 Å
α = 90.00°, β = 90.00°, γ = 90.00°
Space group P4/mbm (No. 127)
Symmetry-distinct sites (fractional):
Be (0.148, 0.352, 0.000) (multiplicity 4)
Al (0.000, 0.000, 0.500) (multiplicity 2)
Au (0.150, 0.650, 0.500) (multiplicity 4)

## Properties
Energy above the most stable polymorph in this dataset   93.0 meV/atom
ΔH_f (0 K)   -69 meV/atom
Total energy   -3.619 eV/atom
Density   10.253 Mg/m³

Be2AlAu after structural relaxation, computed with PBE-GGA.

a = 3.678 Å, b = 3.678 Å, c = 7.427 Å
α = 90.00°, β = 90.00°, γ = 90.00°
Space group I-4m2 (No. 119)
Symmetry-distinct sites (fractional):
Be (0.000, 0.000, 0.000) (multiplicity 2)
Be (0.000, 0.500, 0.250) (multiplicity 2)
Al (0.000, 0.000, 0.500) (multiplicity 2)
Au (0.000, 0.500, 0.750) (multiplicity 2)

## Properties
ΔH_f (0 K)   10 meV/atom
Total energy   -3.609 eV/atom
Density   7.998 Mg/m³

Be3AlAu after structural relaxation, computed with PBE-GGA.

a = 4.301 Å, b = 4.301 Å, c = 4.301 Å
α = 90.00°, β = 90.00°, γ = 90.00°
Space group Pm-3m (No. 221)
Symmetry-distinct sites (fractional):
Be (0.000, 0.000, 0.500) (multiplicity 3)
Al (0.000, 0.000, 0.000) (multiplicity 1)
Au (0.500, 0.500, 0.500) (multiplicity 1)

## Properties
Energy above the most stable polymorph in this dataset   418.5 meV/atom
ΔH_f (0 K)   1019 meV/atom
Total energy   -2.621 eV/atom
Density   5.239 Mg/m³

Be2AlAu after structural relaxation, computed with PBE-GGA.

a = 8.269 Å, b = 3.045 Å, c = 4.225 Å
α = 90.00°, β = 103.14°, γ = 90.00°
Space group Cm (No. 8)
Symmetry-distinct sites (fractional):
Be (0.000, 0.000, 0.000) (multiplicity 2)
Be (0.236, 0.500, 0.216) (multiplicity 2)
Al (0.245, 0.000, 0.754) (multiplicity 2)
Au (0.484, 0.000, 0.447) (multiplicity 2)

## Properties
ΔH_f (0 K)   28 meV/atom
Total energy   -3.590 eV/atom
Density   7.757 Mg/m³

BeAl2Au6 after structural relaxation, computed with PBE-GGA.

a = 8.930 Å, b = 4.074 Å, c = 8.408 Å
α = 90.00°, β = 102.66°, γ = 90.00°
Space group C2/m (No. 12)
Symmetry-distinct sites (fractional):
Be (0.000, 0.000, 0.000) (multiplicity 2)
Al (0.196, 0.500, 0.247) (multiplicity 4)
Au (0.013, 0.000, 0.296) (multiplicity 4)
Au (0.140, 0.500, 0.933) (multiplicity 4)
Au (0.162, 0.500, 0.571) (multiplicity 4)

## Properties
Energy above the most stable polymorph in this dataset   0.0 meV/atom
ΔH_f (0 K)   -216 meV/atom
Total energy   -3.647 eV/atom
Density   13.851 Mg/m³

Be2AlAu8 after structural relaxation, computed with PBE-GGA.

a = 4.439 Å, b = 6.525 Å, c = 7.295 Å
α = 113.30°, β = 103.52°, γ = 99.09°
Space group P1 (No. 1)
Symmetry-distinct sites (fractional):
Be (0.000, 0.000, 0.000) (multiplicity 1)
Be (0.335, 0.344, 0.685) (multiplicity 1)
Al (0.765, 0.638, 0.341) (multiplicity 1)
Au (0.142, 0.433, 0.114) (multiplicity 1)
Au (0.251, 0.960, 0.342) (multiplicity 1)
Au (0.366, 0.664, 0.572) (multiplicity 1)
Au (0.481, 0.131, 0.915) (multiplicity 1)
Au (0.565, 0.756, 0.038) (multiplicity 1)
Au (0.830, 0.250, 0.344) (multiplicity 1)
Au (0.874, 0.056, 0.647) (multiplicity 1)
Au (0.902, 0.556, 0.771) (multiplicity 1)

## Properties
Energy above the most stable polymorph in this dataset   27.3 meV/atom
ΔH_f (0 K)   -117 meV/atom
Total energy   -3.518 eV/atom
Density   14.859 Mg/m³